ZrNb2Ga2 | PBE-GGA | optimized geometry

Values from the calculation:
relative energy among the computed polymorphs: 0 meV/atom

Structure (CIF):
```
data_ZrNb2Ga2
_symmetry_space_group_name_H-M 'P 4/m b m'
_symmetry_Int_Tables_number 127
_symmetry_space_group_name_Hall '-P 4 2ab'
_cell_length_a 7.1271
_cell_length_b 7.1271
_cell_length_c 3.5025
_cell_angle_alpha 90.00
_cell_angle_beta 90.00
_cell_angle_gamma 90.00
loop_
_atom_site_label
_atom_site_type_symbol
_atom_site_fract_x
_atom_site_fract_y
_atom_site_fract_z
_atom_site_occupancy
Zr1 Zr 0.0000 0.0000 0.0000 1
Nb1 Nb 0.1753 0.3247 0.5000 1
Ga1 Ga 0.1235 0.6235 0.0000 1
```